A relaxed structure of TaNiAgSn. Source: the Open Quantum Materials Database, functional PBE.

a b c (Å): 4.5958 4.5958 4.5958
angles (deg): 60.00 60.00 60.00
With the nearest neighbours (Å) after each atom.
Atoms (fractional coordinates):
Ni (0.7500, 0.7500, 0.7500)  4 Ag 2.81, 4 Sn 2.81
Ta (0.2500, 0.2500, 0.2500)  4 Ag 2.81, 4 Sn 2.81
Ag (0.5000, 0.5000, 0.5000)  4 Ta 2.81, 4 Ni 2.81
Sn (0.0000, 0.0000, 0.0000)  4 Ni 2.81, 4 Ta 2.81

Computed properties:
The value obtained for the final energy is -5.740 eV/atom.